The following is a GGA-PBE calculation of a relaxed structure of PrMg2Al2Au2, from Alexandria via LeMat-Bulk.

ρ: 7.028 Mg/m³
crystal system: trigonal
calculated formation energy: -0.51 eV per atom
volume: 21.51 Å³/atom

Structure (CIF):
```
data_PrMg2Al2Au2
_chemical_formula_sum 'Pr3 Mg6 Al6 Au6'
_space_group_name_H-M_alt 'R -3 m'
_space_group_IT_number 166
_space_group_name_Hall '-R 3 2"'
_cell_length_a 4.4785
_cell_length_b 4.4785
_cell_length_c 26.0108
_cell_angle_alpha 90.00
_cell_angle_beta 90.00
_cell_angle_gamma 120.00
loop_
_atom_site_label
_atom_site_type_symbol
_atom_site_fract_x
_atom_site_fract_y
_atom_site_fract_z
Pr1 Pr 0.0000 0.0000 0.0000
Mg1 Mg 0.0000 0.0000 0.1352
Al1 Al 0.0000 0.0000 0.2542
Au1 Au 0.0000 0.0000 0.4194
```